VASP calculation (GGA-PBEsol) on a relaxed structure of CsVP3HO10.

```
CsVP3HO10
1.0
6.0758 -4.3646 0.0000
6.0758 4.3646 0.0000
-3.2969 0.0000 8.4803
Cs V P H O
2 2 6 2 20
Cartesian
3.6032 3.8603 6.3602
5.2516 -3.8603 2.1201
3.0379 2.1823 0.0000
1.3895 -2.1823 4.2402
1.2395 0.5299 5.9567
2.8879 -0.5299 1.7165
5.2516 1.0923 2.1201
3.6032 -1.0923 6.3602
5.9669 0.5299 6.7638
7.6153 -0.5299 2.5236
1.3895 2.1823 4.2402
3.0379 -2.1823 0.0000
0.2297 1.0596 6.9532
1.9391 1.6170 5.1422
2.2479 0.5716 0.8691
4.8207 1.8787 0.9091
0.5995 -0.5716 5.1093
5.6825 1.8787 3.3310
1.8781 -1.0596 2.7131
4.0751 0.1315 2.6053
2.4267 -0.1315 6.8454
5.2673 1.6170 7.5782
3.5875 -1.6170 0.9021
6.4281 0.1315 1.6349
4.7797 -0.1315 5.8750
6.9767 1.0596 5.7672
3.1723 -1.8787 5.1493
8.2553 0.5716 3.3710
4.0341 -1.8787 7.5712
6.6069 -0.5716 7.6112
6.9157 -1.6170 3.3381
8.6251 -1.0596 1.5271
```

Results
spin magnetization = 0.13 μB per atom
symmetry = C2/c
total DFT energy (no corrections) = -7.4016 eV per atom



VASP calculation (GGA-PBEsol) on a relaxed structure of MgZrRh2.

```
MgZrRh2
1.0
3.0096 0.0000 0.0000
0.0000 4.1117 0.0000
0.0000 0.0000 5.3004
Mg Zr Rh
1 1 2
Cartesian
0.0000 0.0000 0.0000
1.5048 2.0559 3.5586
0.0000 0.0000 2.5713
1.5048 2.0559 0.8802
```

Results
formation energy = -0.437 eV/atom
spin magnetization = 0.00 μB per atom
symmetry = Pmm2
total DFT energy (no corrections) = -7.2078 eV per atom



VASP calculation (GGA-PBEsol) on a relaxed structure of Nd3Fe29.

```
Nd3Fe29
1.0
4.7179 -4.1571 0.0000
4.7179 4.1571 0.0000
-1.1535 0.0000 10.1801
Nd Fe
3 29
Cartesian
0.0000 0.0000 0.0000
1.0633 0.0000 6.0837
7.2191 0.0000 4.0964
2.3590 2.0785 0.0000
0.5709 0.0000 2.9810
2.3247 2.0593 8.1582
3.6286 2.2927 1.9985
2.5414 1.1911 3.8096
3.4573 2.0535 6.0778
1.6191 0.0000 9.0887
2.6050 0.0000 1.4232
4.8251 2.0535 4.1023
4.6538 2.2927 8.1816
4.7179 1.1559 0.0000
5.9577 2.0593 2.0219
2.5414 -1.1911 3.8096
3.6743 0.0000 7.6179
2.3590 -2.0785 0.0000
4.1412 0.0000 5.0900
4.6080 0.0000 2.5622
5.7410 1.1911 6.3705
2.3247 -2.0593 8.1582
4.7179 -1.1559 0.0000
3.6286 -2.2927 1.9985
3.4573 -2.0535 6.0778
5.6774 0.0000 8.7569
6.6633 0.0000 1.0914
4.8251 -2.0535 4.1023
5.7410 -1.1911 6.3705
4.6538 -2.2927 8.1816
5.9577 -2.0593 2.0219
7.7115 0.0000 7.1991
```

Results
formation energy = 0.078 eV/atom
spin magnetization = 1.68 μB per atom
symmetry = C2/m
total DFT energy (no corrections) = -8.5299 eV per atom



VASP calculation (GGA-PBEsol) on a relaxed structure of Ca2AgSe.

```
Ca2AgSe
1.0
4.2307 0.0000 0.0000
0.0000 4.2307 0.0000
0.0000 0.0000 5.9344
Ca Ag Se
2 1 1
Cartesian
0.0000 0.0000 0.0000
2.1154 2.1154 2.9672
0.0000 0.0000 2.9672
2.1154 2.1154 0.0000
```

Results
ΔE_f (raw) = -0.936 eV/atom
excess energy over the best structure of this formula in the dataset = 0.95 kcal/mol of atoms
spin magnetization = 0.00 μB per atom
symmetry = P4/mmm
total DFT energy (no corrections) = -3.7932 eV per atom



VASP calculation (GGA-PBEsol) on a relaxed structure of Zr2FeCo.

```
Zr2FeCo
1.0
4.4206 0.0000 0.0000
0.0000 4.4206 0.0000
0.0000 0.0000 3.1411
Zr Fe Co
2 1 1
Cartesian
0.0000 2.2103 0.0000
2.2103 0.0000 0.0000
0.0000 0.0000 1.5705
2.2103 2.2103 1.5705
```

Results
excess energy over the best structure of this formula in the dataset = 0.04 kcal/mol of atoms
formation energy = -0.258 eV/atom
spin magnetization = 0.21 μB per atom
symmetry = P4/mmm
total DFT energy (no corrections) = -8.9782 eV per atom



VASP calculation (GGA-PBEsol) on a relaxed structure of Ir5Os3.

```
Ir5Os3
1.0
3.8178 -3.8405 0.0000
3.8178 3.8405 0.0000
0.0000 0.0000 3.8192
Ir Os
5 3
Cartesian
0.0000 0.0000 0.0000
1.9089 1.9202 0.0000
3.8178 1.9103 1.9096
1.9089 -1.9202 0.0000
3.8178 -1.9103 1.9096
1.9225 0.0000 1.9096
3.8178 0.0000 0.0000
5.7131 0.0000 1.9096
```

Results
formation energy = 0.037 eV/atom
spin magnetization = 0.00 μB per atom
symmetry = Cmmm
total DFT energy (no corrections) = -10.6838 eV per atom



VASP calculation (GGA-PBEsol) on a relaxed structure of CrTc2Pt.

```
CrTc2Pt
1.0
4.1266 0.0000 0.0000
0.0000 1.3320 4.9482
0.0000 -1.3320 4.9482
Cr Tc Pt
1 2 1
Cartesian
0.0000 0.0000 0.0000
0.0000 0.0000 7.2923
2.0633 0.0000 1.2188
2.0633 0.0000 3.8365
```

Results
excess energy over the best structure of this formula in the dataset = 0.01 kcal/mol of atoms
formation energy = 0.000 eV/atom
spin magnetization = 0.00 μB per atom
symmetry = Amm2
total DFT energy (no corrections) = -9.9347 eV per atom



VASP calculation (GGA-PBEsol) on a relaxed structure of InH2W.

```
InH2W
1.0
0.0000 2.7869 2.7869
2.7869 0.0000 2.7869
2.7869 2.7869 0.0000
In H W
1 2 1
Cartesian
0.0000 0.0000 0.0000
1.3935 1.3935 1.3935
4.1804 4.1804 4.1804
2.7869 2.7869 2.7869
```

Results
spin magnetization = 0.22 μB per atom
symmetry = Fm-3m
total DFT energy (no corrections) = -4.6112 eV per atom



VASP calculation (GGA-PBEsol) on a relaxed structure of Ba2CuN2.

```
Ba2CuN2
1.0
-2.0125 2.0125 6.4629
2.0125 -2.0125 6.4629
2.0125 2.0125 -6.4629
Ba Cu N
2 1 2
Cartesian
0.0000 0.0000 1.9369
0.0000 0.0000 10.9889
0.0000 0.0000 6.4629
0.0000 0.0000 4.6758
0.0000 0.0000 8.2501
```

Results
ΔE_f (raw) = -0.385 eV/atom
spin magnetization = 0.00 μB per atom
symmetry = I4/mmm
total DFT energy (no corrections) = -5.5221 eV per atom



VASP calculation (GGA-PBEsol) on a relaxed structure of InTe.

```
InTe
1.0
6.5534 -2.0781 0.0000
6.5534 2.0781 0.0000
-6.0491 0.0000 6.5420
In Te
3 3
Cartesian
0.0000 0.0000 0.0000
4.8394 0.0000 3.4211
9.3448 0.0000 2.1171
0.6503 0.0000 2.7644
-1.5063 0.0000 6.1831
2.4284 0.0000 5.7933
```

Results
ΔE_f (raw) = -0.172 eV/atom
spin magnetization = 0.00 μB per atom
symmetry = Cm
total DFT energy (no corrections) = -3.4260 eV per atom



VASP calculation (GGA-PBEsol) on a relaxed structure of LiAlSeN2.

```
LiAlSeN2
1.0
3.6388 0.0000 0.0000
0.0000 3.6388 0.0000
0.0000 0.0000 4.7202
Li Al Se N
1 1 1 2
Cartesian
0.0000 0.0000 0.0000
1.8194 1.8194 2.3601
0.0000 0.0000 2.3601
0.0000 1.8194 0.0000
1.8194 0.0000 0.0000
```

Results
ΔE_f (raw) = 1.299 eV/atom
spin magnetization = 0.21 μB per atom
symmetry = P4/mmm
total DFT energy (no corrections) = -4.0933 eV per atom



VASP calculation (GGA-PBEsol) on a relaxed structure of Al2CdTe.

```
Al2CdTe
1.0
0.0000 3.5317 3.5317
3.5317 0.0000 3.5317
3.5317 3.5317 0.0000
Al Cd Te
2 1 1
Cartesian
0.0000 0.0000 0.0000
1.7658 1.7658 1.7658
3.5317 3.5317 3.5317
5.2975 5.2975 5.2975
```

Results
ΔE_f (raw) = 0.287 eV/atom
excess energy over the best structure of this formula in the dataset = 0.79 kcal/mol of atoms
spin magnetization = 0.00 μB per atom
symmetry = F-43m
total DFT energy (no corrections) = -2.9393 eV per atom



VASP calculation (GGA-PBEsol) on a relaxed structure of Cu2ReP.

```
Cu2ReP
1.0
2.5764 0.0000 0.0000
0.0000 2.5764 0.0000
0.0000 0.0000 7.8023
Cu Re P
2 1 1
Cartesian
0.0000 0.0000 1.9252
0.0000 0.0000 5.8771
1.2882 1.2882 3.9012
1.2882 1.2882 0.0000
```

Results
formation energy = 0.342 eV/atom
spin magnetization = 0.00 μB per atom
symmetry = P4/mmm
total DFT energy (no corrections) = -6.6060 eV per atom



VASP calculation (GGA-PBEsol) on a relaxed structure of CaLaTl.

```
CaLaTl
1.0
5.5164 0.0000 0.0000
-2.7582 4.7773 0.0000
0.0000 0.0000 6.9705
Ca La Tl
2 2 2
Cartesian
0.0000 0.0000 0.0000
0.0000 0.0000 3.4852
0.0000 3.1849 1.7426
2.7582 1.5924 5.2279
0.0000 3.1849 5.2279
2.7582 1.5924 1.7426
```

Results
formation energy = -0.439 eV/atom
spin magnetization = 0.00 μB per atom
symmetry = P6_3/mmc
total DFT energy (no corrections) = -3.8087 eV per atom



VASP calculation (GGA-PBEsol) on a relaxed structure of CrSbO4.

```
CrSbO4
1.0
3.1936 -3.2663 0.0000
3.1936 3.2663 0.0000
0.0000 0.0000 3.0977
Cr Sb O
1 1 4
Cartesian
0.0000 0.0000 0.0000
3.1936 0.0000 1.5488
1.2178 0.0000 1.5488
3.1936 1.2916 0.0000
3.1936 -1.2916 0.0000
5.1694 0.0000 1.5488
```

Results
ΔE_f (raw) = -1.650 eV/atom
spin magnetization = 0.50 μB per atom
symmetry = Cmmm
total DFT energy (no corrections) = -7.6164 eV per atom



VASP calculation (GGA-PBEsol) on a relaxed structure of Fe3SnGe.

```
Fe3SnGe
1.0
4.6759 0.0000 0.0000
0.0000 4.6759 0.0000
0.0000 0.0000 4.6759
Fe Sn Ge
3 1 1
Cartesian
0.0000 0.0000 2.3380
0.0000 2.3380 0.0000
2.3380 0.0000 0.0000
0.0000 0.0000 0.0000
2.3380 2.3380 2.3380
```

Results
formation energy = 1.523 eV/atom
spin magnetization = 1.57 μB per atom
symmetry = Pm-3m
total DFT energy (no corrections) = -5.6947 eV per atom



VASP calculation (GGA-PBEsol) on a relaxed structure of LiPtAu.

```
LiPtAu
1.0
0.0000 2.8193 2.8193
2.8193 0.0000 2.8193
2.8193 2.8193 0.0000
Li Pt Au
1 1 1
Cartesian
0.0000 0.0000 0.0000
4.2290 4.2290 4.2290
1.4097 1.4097 1.4097
```

Results
formation energy = -0.040 eV/atom
spin magnetization = 0.00 μB per atom
symmetry = F-43m
total DFT energy (no corrections) = -4.3244 eV per atom



VASP calculation (GGA-PBEsol) on a relaxed structure of LaIn2BiO.

```
LaIn2BiO
1.0
4.8470 0.0000 0.0000
0.0000 4.8470 0.0000
0.0000 0.0000 4.9530
La In Bi O
1 2 1 1
Cartesian
0.0000 0.0000 0.0000
0.0000 2.4235 2.4765
2.4235 0.0000 2.4765
2.4235 2.4235 0.0000
2.4235 2.4235 2.4765
```

Results
ΔE_f (raw) = -0.625 eV/atom
spin magnetization = 0.00 μB per atom
symmetry = P4/mmm
total DFT energy (no corrections) = -4.7946 eV per atom



VASP calculation (GGA-PBEsol) on a relaxed structure of BaSb12Ru4.

```
BaSb12Ru4
1.0
-4.6527 4.6527 4.6527
4.6527 -4.6527 4.6527
4.6527 4.6527 -4.6527
Ba Sb Ru
1 12 4
Cartesian
0.0000 0.0000 0.0000
3.1976 0.0000 1.4941
6.1077 0.0000 1.4941
4.6527 3.1586 -1.4550
1.4941 3.1976 0.0000
3.1586 -1.4550 4.6527
4.6527 3.1586 1.4550
0.0000 1.4941 3.1976
1.4941 6.1077 0.0000
3.1586 1.4550 4.6527
0.0000 1.4941 6.1077
-1.4550 4.6527 3.1586
1.4550 4.6527 3.1586
2.3263 2.3263 -2.3263
2.3263 -2.3263 2.3263
-2.3263 2.3263 2.3263
2.3263 2.3263 2.3263
```

Results
ΔE_f (raw) = -0.354 eV/atom
spin magnetization = 0.00 μB per atom
symmetry = Im-3
total DFT energy (no corrections) = -6.0907 eV per atom



VASP calculation (GGA-PBEsol) on a relaxed structure of Ba3MgFe.

```
Ba3MgFe
1.0
6.4740 0.0000 0.0000
0.0000 6.4740 0.0000
0.0000 0.0000 6.4740
Ba Mg Fe
3 1 1
Cartesian
0.0000 0.0000 3.2370
0.0000 3.2370 0.0000
3.2370 0.0000 0.0000
0.0000 0.0000 0.0000
3.2370 3.2370 3.2370
```

Results
formation energy = 1.046 eV/atom
spin magnetization = 0.51 μB per atom
symmetry = Pm-3m
total DFT energy (no corrections) = -2.3793 eV per atom



VASP calculation (GGA-PBEsol) on a relaxed structure of RbCu2PtS.

```
RbCu2PtS
1.0
4.8569 0.0000 0.0000
0.0000 4.8569 0.0000
0.0000 0.0000 5.0192
Rb Cu Pt S
1 2 1 1
Cartesian
0.0000 0.0000 0.0000
0.0000 2.4285 0.0000
2.4285 0.0000 0.0000
0.0000 0.0000 2.5096
2.4285 2.4285 2.5096
```

Results
ΔE_f (raw) = 2.172 eV/atom
spin magnetization = 0.00 μB per atom
symmetry = P4/mmm
total DFT energy (no corrections) = -2.0361 eV per atom



VASP calculation (GGA-PBEsol) on a relaxed structure of CdCoPt2.

```
CdCoPt2
1.0
2.7986 0.0000 0.0000
0.0000 3.6708 0.0000
0.0000 0.0000 5.7864
Cd Co Pt
1 1 2
Cartesian
0.0000 0.0000 0.0000
0.0000 0.0000 2.8932
1.3993 1.8354 1.5800
1.3993 1.8354 4.2064
```

Results
formation energy = -0.084 eV/atom
spin magnetization = 0.60 μB per atom
symmetry = Pmmm
total DFT energy (no corrections) = -5.7993 eV per atom



VASP calculation (GGA-PBEsol) on a relaxed structure of YMgTl2.

```
YMgTl2
1.0
-2.5353 2.5353 3.8455
2.5353 -2.5353 3.8455
2.5353 2.5353 -3.8455
Y Mg Tl
1 1 2
Cartesian
0.0000 0.0000 0.0000
0.0000 0.0000 3.8455
2.5353 0.0000 1.9227
0.0000 2.5353 1.9227
```

Results
formation energy = -0.292 eV/atom
spin magnetization = 0.00 μB per atom
symmetry = I4/mmm
total DFT energy (no corrections) = -3.7422 eV per atom



VASP calculation (GGA-PBEsol) on a relaxed structure of Ca2Ni.

```
Ca2Ni
1.0
3.9050 0.0000 0.0000
-1.9525 3.3819 0.0000
0.0000 0.0000 6.5061
Ca Ni
2 1
Cartesian
0.0000 2.2546 1.5534
1.9525 1.1273 4.9527
0.0000 0.0000 0.0000
```

Results
formation energy = 0.077 eV/atom
spin magnetization = 0.00 μB per atom
symmetry = P-3m1
total DFT energy (no corrections) = -3.3981 eV per atom



VASP calculation (GGA-PBEsol) on a relaxed structure of RbSrI3.

```
RbSrI3
1.0
6.3236 0.0000 0.0000
0.0000 6.3236 0.0000
0.0000 0.0000 6.3236
Rb Sr I
1 1 3
Cartesian
0.0000 0.0000 0.0000
3.1618 3.1618 3.1618
0.0000 3.1618 3.1618
3.1618 0.0000 3.1618
3.1618 3.1618 0.0000
```

Results
ΔE_f (raw) = -1.532 eV/atom
spin magnetization = 0.00 μB per atom
symmetry = Pm-3m
total DFT energy (no corrections) = -3.1650 eV per atom